Record 1
Cs2TiAl | Alexandria | GGA-PBE | relaxed; total magnetization = 0.38 μB/f.u.; formation energy from the elements = 1348 meV per atom; Fermi-level density of states = 10.9 states/eV/f.u.; space group = Fm-3m, No. 225
1.0
0.000 4.406 4.406
4.406 0.000 4.406
4.406 4.406 0.000
Cs Ti Al
2 1 1
Direct
0.250 0.250 0.250 Cs
0.750 0.750 0.750 Cs
0.000 0.000 0.000 Ti
0.500 0.500 0.500 Al

Record 2
CsTiAl | Alexandria | GGA-PBE | relaxed; total magnetization = 0.99 μB/f.u.; formation energy from the elements = 593 meV per atom; Fermi-level density of states = 2.8 states/eV/f.u.; energy relative to the lowest polymorph listed for this composition = 333 meV per atom; space group = Pnma, No. 62
1.0
9.698 0.000 0.000
0.000 3.425 0.000
0.000 0.000 12.722
Cs Ti Al
4 4 4
Direct
0.053 0.250 0.166 Cs
0.447 0.750 0.666 Cs
0.553 0.250 0.334 Cs
0.947 0.750 0.834 Cs
0.074 0.250 0.553 Ti
0.426 0.750 0.053 Ti
0.574 0.250 0.947 Ti
0.926 0.750 0.447 Ti
0.203 0.750 0.411 Al
0.297 0.250 0.911 Al
0.703 0.750 0.089 Al
0.797 0.250 0.589 Al

Number 1: E_tot -1.99 eV/atom. Number 2: E_tot -3.57 eV/atom.